[1]
A plane-wave DFT calculation with PBE was carried out for NaLiAs2 after structural relaxation.

Cell: 3.048 5.348 5.348 Å, 112.46 90.00 90.00°
Element x y z (fractional)
As 0.500 0.485 0.097
As 0.500 0.903 0.515
Na 0.000 0.964 0.036
Li 0.500 0.428 0.572

Calculated total energy in eV per atom: -3.47
Space group: Amm2, No. 38
Distance to the lowest polymorph of the same formula in eV/f.u.: 0.20

[2]
A plane-wave DFT calculation with PBE was carried out for Na2LiAs2 after structural relaxation.

Cell: 8.658 8.658 2.904 Å, 90.00 90.00 90.00°
Element x y z (fractional)
As 0.321 0.179 0.500
As 0.821 0.321 0.500
As 0.179 0.679 0.500
As 0.679 0.821 0.500
Na 0.380 0.880 0.000
Na 0.120 0.380 0.000
Na 0.620 0.120 0.000
Na 0.880 0.620 0.000
Li 0.000 0.000 0.000
Li 0.500 0.500 0.000

Calculated total energy in eV per atom: -2.98
Space group: P4/mbm, No. 127
Distance to the lowest polymorph of the same formula in eV/f.u.: 1.20

[3]
A plane-wave DFT calculation with PBE was carried out for NaLi2As after structural relaxation.

Cell: 4.424 4.424 5.649 Å, 66.95 66.95 60.00°
Element x y z (fractional)
As 0.686 0.686 0.941
Li 0.020 0.020 0.941
Li 0.305 0.305 0.086
Na 0.489 0.489 0.532

Calculated total energy in eV per atom: -3.01
Space group: R3m, No. 160

[4]
A plane-wave DFT calculation with PBE was carried out for Na3LiAs after structural relaxation.

Cell: 5.613 5.613 5.613 Å, 90.00 90.00 90.00°
Last column: magnetic moment on the atom in μB.
Element x y z (fractional)
Na 0.000 0.500 0.000  0.00
Na 0.000 0.000 0.500  0.00
Na 0.500 0.000 0.000  0.00
Li 0.500 0.500 0.500  0.07
As 0.000 0.000 0.000  0.06

Calculated total energy in eV per atom: -2.18
Space group: Pm-3m, No. 221
Distance to the lowest polymorph of the same formula in eV/f.u.: 0.63

[5]
A plane-wave DFT calculation with PBE was carried out for NaLi2As after structural relaxation.

Cell: 4.762 4.762 9.054 Å, 74.76 74.76 90.00°
Element x y z (fractional)
Li 0.375 0.229 0.750
Li 0.875 0.021 0.750
Li 0.979 0.625 0.250
Li 0.771 0.125 0.250
Na 0.250 0.750 0.500
Na 0.500 0.500 0.000
As 0.750 0.250 0.500
As 0.000 0.000 0.000

Calculated total energy in eV per atom: -2.74
Space group: I-42d, No. 122

[6]
A plane-wave DFT calculation with PBE was carried out for NaLi3As2 after structural relaxation.

Cell: 4.341 8.039 8.038 Å, 57.43 74.33 74.34°
Element x y z (fractional)
Li 0.325 0.872 0.478
Li 0.000 0.662 0.338
Li 0.675 0.522 0.128
Li 0.000 0.338 0.662
Li 0.325 0.478 0.872
Li 0.675 0.128 0.522
As 0.186 0.314 0.314
As 0.814 0.686 0.686
As 0.500 0.846 0.154
As 0.500 0.154 0.846
Na 0.861 0.138 0.139
Na 0.139 0.862 0.861

Calculated total energy in eV per atom: -3.24
Space group: Immm, No. 71

[7]
A plane-wave DFT calculation with PBE was carried out for NaLi3As after structural relaxation.

Cell: 4.750 7.507 4.930 Å, 139.59 90.00 90.00°
Element x y z (fractional)
Li 0.000 0.446 0.479
Li 0.500 0.430 0.860
Li 0.000 0.034 0.479
Na 0.500 0.889 0.778
As 0.000 0.556 0.112

Calculated total energy in eV per atom: -2.73
Space group: Amm2, No. 38
Distance to the lowest polymorph of the same formula in eV/f.u.: 0.00

[8]
A plane-wave DFT calculation with PBE was carried out for NaLi4As4 after structural relaxation.

Cell: 5.164 8.658 8.658 Å, 90.00 90.00 90.00°
Element x y z (fractional)
Li 0.876 0.624 0.851
Li 0.876 0.376 0.149
Li 0.624 0.124 0.351
Li 0.376 0.649 0.124
Li 0.124 0.149 0.624
Li 0.624 0.876 0.649
Li 0.124 0.851 0.376
Li 0.376 0.351 0.876
As 0.620 0.186 0.656
As 0.620 0.814 0.344
As 0.880 0.686 0.156
As 0.120 0.844 0.686
As 0.880 0.314 0.844
As 0.120 0.156 0.314
As 0.380 0.344 0.186
As 0.380 0.656 0.814
Na 0.500 0.500 0.500
Na 0.000 0.000 0.000

Calculated total energy in eV per atom: -3.45
Space group: P4_2/n, No. 86

[9]
A plane-wave DFT calculation with PBE was carried out for NaLi3As after structural relaxation.

Cell: 4.672 4.672 4.672 Å, 90.00 90.00 90.00°
Element x y z (fractional)
Na 0.000 0.000 0.000
Li 0.500 0.000 0.000
Li 0.000 0.000 0.500
Li 0.000 0.500 0.000
As 0.500 0.500 0.500

Calculated total energy in eV per atom: -2.01
Space group: Pm-3m, No. 221
Distance to the lowest polymorph of the same formula in eV/f.u.: 3.57

[10]
A plane-wave DFT calculation with PBE was carried out for NaLiAs after structural relaxation.

Cell: 4.150 5.669 6.862 Å, 114.40 107.60 90.00°
Element x y z (fractional)
As 0.392 0.892 0.785
As 0.608 0.108 0.215
Li 0.000 0.788 0.000
Li 0.000 0.212 0.000
Na 0.290 0.290 0.580
Na 0.710 0.710 0.420

Calculated total energy in eV per atom: -3.01
Space group: Immm, No. 71
Distance to the lowest polymorph of the same formula in eV/f.u.: 0.15

[11]
A plane-wave DFT calculation with PBE was carried out for NaLiAs after structural relaxation.

Cell: 3.164 4.888 9.603 Å, 120.60 99.48 90.00°
Element x y z (fractional)
Li 0.231 0.212 0.462
Li 0.769 0.788 0.538
As 0.139 0.529 0.279
As 0.861 0.471 0.721
Na 0.951 0.151 0.901
Na 0.049 0.849 0.099

Calculated total energy in eV per atom: -2.97
Space group: Cmcm, No. 63
Distance to the lowest polymorph of the same formula in eV/f.u.: 0.27

[12]
A plane-wave DFT calculation with PBE was carried out for NaLiAs after structural relaxation.

Cell: 4.674 4.674 4.674 Å, 60.00 60.00 60.00°
Last column: magnetic moment on the atom in μB.
Element x y z (fractional)
Li 0.000 0.000 0.000  0.01
Na 0.500 0.500 0.500  0.01
As 0.250 0.250 0.250  0.27

Calculated total energy in eV per atom: -2.87
Space group: F-43m, No. 216
Distance to the lowest polymorph of the same formula in eV/f.u.: 0.57